# 1
## CdCoO3 (GGA+U)

Data for a geometry-optimized CdCoO3 structure.

Cell: 3.739 3.739 3.739 Å, 90.00 90.00 90.00°
Atoms (fractional coordinates):
O 0.500 0.500 0.000
O 0.500 0.000 0.500
O 0.000 0.500 0.500
Co 0.500 0.500 0.500
Cd 0.000 0.000 0.000

Results
Uncorrected energy ... -23.6 eV/cell
Total magnetic moment ... 2.9 μB per cell
SG ... Pm-3m


# 2
## CdCoO3 (GGA+U)

Data for a geometry-optimized CdCoO3 structure.

Cell: 4.049 4.049 4.049 Å, 90.00 90.00 90.00°
Atoms (fractional coordinates):
O 0.500 0.500 0.000
O 0.000 0.500 0.500
O 0.500 0.000 0.500
Co 0.000 0.000 0.000
Cd 0.500 0.500 0.500

Results
Uncorrected energy ... -19.0 eV/cell
Total magnetic moment ... 3.3 μB per cell
SG ... Pm-3m


# 3
## CdCo2O4 (GGA+U)

Data for a geometry-optimized CdCo2O4 structure.

Cell: 6.135 6.135 6.135 Å, 120.56 89.03 120.56°
Atoms (fractional coordinates):
Co 0.875 0.250 0.625
Co 0.375 0.750 0.125
Co 0.375 0.750 0.625
Co 0.375 0.250 0.625
O 0.572 0.717 0.855
O 0.605 0.783 0.387
O 0.605 0.217 0.822
O 0.145 0.717 0.863
O 0.145 0.283 0.428
O 0.613 0.217 0.395
O 0.137 0.283 0.855
O 0.178 0.783 0.395
Cd 0.000 0.000 0.000
Cd 0.750 0.500 0.250

Results
Uncorrected energy ... -74.9 eV/cell
Total magnetic moment ... 0.0 μB per cell
SG ... I4_1/amd


# 4
## CdCoO3 (GGA+U)

Data for a geometry-optimized CdCoO3 structure.

Cell: 5.827 5.827 5.827 Å, 56.45 56.45 56.45°
Atoms (fractional coordinates):
Cd 0.500 0.500 0.500
Cd 0.000 0.000 0.000
O 0.440 0.060 0.750
O 0.250 0.560 0.940
O 0.940 0.250 0.560
O 0.560 0.940 0.250
O 0.750 0.440 0.060
O 0.060 0.750 0.440
Co 0.750 0.750 0.750
Co 0.250 0.250 0.250

Results
Uncorrected energy ... -48.0 eV/cell
Total magnetic moment ... 6.0 μB per cell
SG ... R-3c


# 5
## Cd2CoO4 (GGA+U)

Data for a geometry-optimized Cd2CoO4 structure.

Cell: 5.496 9.621 3.002 Å, 90.00 90.00 90.00°
Atoms (fractional coordinates):
Co 0.500 0.500 0.000
Co 0.000 0.000 0.000
O 0.287 0.541 0.500
O 0.713 0.459 0.500
O 0.877 0.180 0.000
O 0.123 0.820 0.000
O 0.213 0.041 0.500
O 0.787 0.959 0.500
O 0.623 0.680 0.000
O 0.377 0.320 0.000
Cd 0.059 0.328 0.500
Cd 0.441 0.828 0.500
Cd 0.941 0.672 0.500
Cd 0.559 0.172 0.500

Results
Uncorrected energy ... -65.4 eV/cell
Total magnetic moment ... 2.0 μB per cell
SG ... Pbam


# 6
## CdCoO3 (GGA+U)

Data for a geometry-optimized CdCoO3 structure.

Cell: 5.167 5.167 5.167 Å, 61.62 61.62 61.62°
Atoms (fractional coordinates):
Co 0.000 0.000 0.000
Co 0.500 0.500 0.500
Cd 0.750 0.750 0.750
Cd 0.250 0.250 0.250
O 0.250 0.662 0.838
O 0.838 0.250 0.662
O 0.750 0.338 0.162
O 0.662 0.838 0.250
O 0.338 0.162 0.750
O 0.162 0.750 0.338

Results
Uncorrected energy ... -48.8 eV/cell
Total magnetic moment ... 2.0 μB per cell
SG ... R-3c


# 7
## CdCoPO (GGA+U)

Data for a geometry-optimized CdCoPO structure.

Cell: 3.497 6.762 5.860 Å, 90.00 90.00 90.00°
Atoms (fractional coordinates):
Cd 0.000 0.810 0.963
Cd 0.000 0.190 0.463
O 0.500 0.619 0.857
O 0.500 0.381 0.357
Co 0.500 0.627 0.525
Co 0.500 0.373 0.025
P 0.000 0.184 0.908
P 0.000 0.816 0.408

Results
Uncorrected energy ... -35.3 eV/cell
ΔE to the lowest computed polymorph ... 0.0 meV per atom
Total magnetic moment ... 4.0 μB per cell
SG ... Pmc2_1


# 8
## CdCoP2O7 (GGA+U)

Data for a geometry-optimized CdCoP2O7 structure.

Cell: 4.520 5.388 5.402 Å, 104.10 97.00 97.05°
Atoms (fractional coordinates):
O 0.062 0.003 0.099
O 0.527 0.747 0.252
O 0.027 0.357 0.863
O 0.777 0.343 0.266
O 0.988 0.768 0.578
O 0.564 0.031 0.842
O 0.489 0.510 0.605
Co 0.275 0.713 0.894
P 0.863 0.181 0.000
P 0.690 0.609 0.428
Cd 0.278 0.101 0.506

Results
Uncorrected energy ... -72.0 eV/cell
Total magnetic moment ... 3.0 μB per cell
SG ... P1


# 9
## CdCoPO (GGA+U)

Data for a geometry-optimized CdCoPO structure.

Cell: 3.158 6.839 6.170 Å, 90.00 90.00 90.00°
Atoms (fractional coordinates):
Co 0.000 0.788 0.981
Co 0.000 0.212 0.481
P 0.000 0.904 0.330
P 0.000 0.096 0.830
O 0.500 0.366 0.403
O 0.500 0.634 0.903
Cd 0.500 0.668 0.540
Cd 0.500 0.332 0.040

Results
Uncorrected energy ... -35.2 eV/cell
ΔE to the lowest computed polymorph ... 3.7 meV per atom
Total magnetic moment ... 5.4 μB per cell
SG ... Pmc2_1


# 10
## CdCoPO (GGA+U)

Data for a geometry-optimized CdCoPO structure.

Cell: 4.036 4.036 8.807 Å, 90.00 90.00 90.00°
Atoms (fractional coordinates):
Co 0.000 0.500 0.049
Co 0.500 0.000 0.951
P 0.500 0.000 0.689
P 0.000 0.500 0.311
Cd 0.500 0.500 0.500
Cd 0.000 0.000 0.500
O 0.500 0.500 0.000
O 0.000 0.000 0.000

Results
Uncorrected energy ... -34.1 eV/cell
ΔE to the lowest computed polymorph ... 145.6 meV per atom
Total magnetic moment ... 5.5 μB per cell
SG ... P4/nmm


# 11
## CdCoPO (GGA+U)

Data for a geometry-optimized CdCoPO structure.

Cell: 3.933 3.933 7.556 Å, 90.00 90.00 90.00°
Atoms (fractional coordinates):
Co 0.500 0.500 0.500
Co 0.000 0.000 0.500
P 0.000 0.500 0.629
P 0.500 0.000 0.371
Cd 0.000 0.500 0.135
Cd 0.500 0.000 0.865
O 0.500 0.500 0.000
O 0.000 0.000 0.000

Results
Uncorrected energy ... -33.9 eV/cell
ΔE to the lowest computed polymorph ... 167.0 meV per atom
Total magnetic moment ... 1.0 μB per cell
SG ... P4/nmm


# 12
## CdCoSO (GGA+U)

Data for a geometry-optimized CdCoSO structure.

Cell: 3.674 3.674 11.237 Å, 90.00 90.00 120.00°
Atoms (fractional coordinates):
Cd 0.333 0.667 0.263
Cd 0.667 0.333 0.763
O 0.000 0.000 0.334
O 0.000 0.000 0.834
S 0.333 0.667 0.588
S 0.667 0.333 0.088
Co 0.000 0.000 0.503
Co 0.000 0.000 0.003

Results
Uncorrected energy ... -35.5 eV/cell
ΔE to the lowest computed polymorph ... 300.9 meV per atom
Total magnetic moment ... 6.0 μB per cell
SG ... P6_3mc